First-principles (PBE-GGA) data for a relaxed structure of ZnSb2RuI, as listed in Alexandria.

a = 5.062 Å, b = 5.062 Å, c = 5.817 Å
α = 90.00°, β = 90.00°, γ = 90.00°
Atoms (fractional coordinates):
1 Zn 0.000 0.000 0.000
2 Sb 0.000 0.500 0.500
3 Sb 0.500 0.000 0.500
4 Ru 0.500 0.500 0.500
5 I 0.500 0.500 0.000

Computed properties:
D(E_F) ... 4.25 states/eV/f.u.
Offset from the most stable computed form ... 0 meV/atom
Uncorrected formation energy ... 0.458 eV per atom
Mass density ... 6.0 g/cm³
Total magnetization ... 0.0 μB/f.u.